DFT (PBEsol) results for an optimized crystal structure of Re3AgO.

Computed properties:
DOS at the Fermi energy   2.022 states/eV per atom
Uncorrected formation energy   3.94 eV/atom
Uncorrected energy   -5.77 eV per atom
Space group   Pm-3m (221)

POSCAR file:
```
Re3AgO
1.0
-3.4087 -1.2562 3.0184
-2.0700 -2.5459 -3.3972
2.5306 -3.7747 1.2868
Re O Ag
3 1 1
direct
0.0000 0.5000 0.0000
0.0000 0.0000 0.5000
0.5000 0.0000 0.0000
0.5000 0.5000 0.5000
0.0000 0.0000 0.0000
```


DFT (PBEsol) results for an optimized crystal structure of TlRe2AgO.

Computed properties:
DOS at the Fermi energy   0.773 states/eV per atom
Uncorrected formation energy   0.72 eV/atom
Uncorrected energy   -6.85 eV per atom
Space group   P4/mmm (123)

POSCAR file:
```
TlRe2AgO
1.0
3.9664 0.0000 0.0000
0.0000 3.9664 0.0000
0.0000 0.0000 5.0863
Re Tl O Ag
2 1 1 1
direct
0.0000 0.5000 0.0000
0.5000 0.0000 0.0000
0.5000 0.5000 0.5000
0.0000 0.0000 0.0000
0.0000 0.0000 0.5000
```


DFT (PBEsol) results for an optimized crystal structure of AgRhO2.

Computed properties:
DOS at the Fermi energy   0.941 states/eV per atom
Uncorrected formation energy   -0.09 eV/atom
Uncorrected energy   -5.58 eV per atom
Space group   R-3m (166)

POSCAR file:
```
AgRhO2
1.0
-1.5034 2.3961 0.8536
-2.5739 0.6661 -1.2891
-4.5652 -2.6043 4.3835
Rh O Ag
1 2 1
direct
0.0000 0.0000 0.0000
0.9090 0.9090 0.2730
0.0910 0.0910 0.7270
0.5000 0.5000 0.5000
```


DFT (PBEsol) results for an optimized crystal structure of AgRhO2.

Computed properties:
Uncorrected formation energy   -0.56 eV/atom
Uncorrected energy   -6.04 eV per atom
Space group   P6_3/mmc (194)

POSCAR file:
```
AgRhO2
1.0
-0.5616 2.9902 0.2696
-0.6353 -1.8881 2.3154
11.3786 1.7286 4.5319
Ag Rh O
2 2 4
direct
0.6667 0.3333 0.7500
0.3333 0.6667 0.2500
0.0000 0.0000 0.5000
0.0000 0.0000 0.0000
0.6667 0.3333 0.9192
0.6667 0.3333 0.5808
0.3333 0.6667 0.4192
0.3333 0.6667 0.0808
```


DFT (PBEsol) results for an optimized crystal structure of AgRhO2.

Computed properties:
Uncorrected formation energy   -0.56 eV/atom
Uncorrected energy   -6.04 eV per atom
Space group   R-3m (166)

POSCAR file:
```
AgRhO2
1.0
-1.4443 2.6855 0.1717
-2.2116 0.4152 2.0649
2.9729 3.0263 4.8343
Rh Ag O
1 1 2
direct
0.5000 0.5000 0.5000
0.0000 0.0000 0.0000
0.8873 0.8873 0.3382
0.1127 0.1127 0.6618
```


DFT (PBEsol) results for an optimized crystal structure of Ag3RhO.

Computed properties:
DOS at the Fermi energy   1.004 states/eV per atom
Uncorrected formation energy   0.48 eV/atom
Uncorrected energy   -4.19 eV per atom
Space group   Pm-3m (221)

POSCAR file:
```
Ag3RhO
1.0
-0.6621 -3.9094 1.5415
3.9960 -0.1028 1.4557
-1.3005 1.6745 3.6882
Rh O Ag
1 1 3
direct
0.5000 0.5000 0.5000
0.0000 0.0000 0.0000
0.0000 0.5000 0.0000
0.0000 0.0000 0.5000
0.5000 0.0000 0.0000
```